Computed, not measured: BaSi2Os after structural relaxation at the PBE level of DFT.

POSCAR file:
```
BaSi2Os
1.0
3.7611 0.0000 0.0000
0.0000 3.8733 0.0000
-0.5493 0.0000 6.3647
Ba Si Os
1 2 1
Cartesian
0.0000 0.0000 0.0000
1.2917 1.9366 4.4584
1.7630 0.0000 2.9272
3.1773 1.9366 3.0236
```

Results
The magnetization is 0.000 μB/atom. The energy relative to the elements, uncorrected is -0.07 eV per formula unit. The value obtained for the total energy is -24.07 eV per cell.

Computed, not measured: SrLiIr2 after structural relaxation at the PBE level of DFT.

POSCAR file:
```
SrLiIr2
1.0
2.8675 0.0000 0.0000
0.0000 4.4828 0.0000
-1.2772 0.0000 5.6797
Sr Li Ir
1 1 2
Cartesian
0.0000 0.0000 0.0000
0.7952 0.0000 2.8398
0.0690 2.2414 3.9246
1.5213 2.2414 1.7551
```

Results
The magnetization is 0.000 μB/atom. As for the formation energy: 1.8 kcal/mol of atoms. The calculation puts the energy relative to the lowest polymorph listed for this composition at 0.000 eV/atom. The value obtained for the total energy is -21.00 eV per cell.

Computed, not measured: HfAsPd2 after structural relaxation at the PBE level of DFT.

POSCAR file:
```
HfAsPd2
1.0
-1.9581 1.9581 9.3636
1.9581 -1.9581 9.3636
1.9581 1.9581 -9.3636
Hf As Pd
2 2 4
Cartesian
0.0000 0.0000 0.0000
0.0000 1.9581 4.6818
1.9581 0.0000 4.6818
0.0000 0.0000 9.3636
0.9790 -0.9494 7.0227
1.0087 0.9790 2.3409
0.9790 2.9075 -2.3409
0.9494 0.9790 11.7045
```

Results
The magnetization is 0.000 μB/atom. As for the formation energy: -12.3 kcal/mol of atoms. The value obtained for the total energy is -54.24 eV per cell.

Computed, not measured: TbDyMg2 after structural relaxation at the PBE level of DFT.

POSCAR file:
```
TbDyMg2
1.0
5.3853 0.0000 0.0000
0.0000 5.3853 0.0000
0.0000 0.0000 3.7628
Tb Dy Mg
1 1 2
Cartesian
0.0000 0.0000 0.0000
2.6927 2.6927 0.0000
0.0000 2.6927 1.8814
2.6927 0.0000 1.8814
```

Results
The magnetization is 0.000 μB/atom. As for the formation energy: -1.9 kcal/mol of atoms. The value obtained for the total energy is -12.76 eV per cell.

Computed, not measured: SrDy4HoS8 after structural relaxation at the PBE level of DFT.

POSCAR file:
```
SrDy4HoS8
1.0
4.0782 2.3545 6.6494
-4.0782 2.3545 6.6494
0.0000 -4.7091 6.6494
Sr Dy Ho S
1 4 1 8
Cartesian
0.0000 0.0000 0.0000
0.0000 -2.3900 10.8210
-2.0698 1.1950 10.8210
0.0000 0.0000 14.9657
2.0698 1.1950 10.8210
0.0000 0.0000 7.4463
0.0000 0.0000 2.7778
0.0000 -2.0833 5.7357
-1.8041 1.0416 5.7357
-1.9111 -1.1034 9.1901
1.8041 1.0416 5.7357
1.9111 -1.1034 9.1901
0.0000 2.2068 9.1901
0.0000 0.0000 12.3210
```

Results
The magnetization is 0.000 μB/atom. The energy relative to the elements, uncorrected is -27.91 eV per formula unit. The value obtained for the total energy is -85.59 eV per cell.

Computed, not measured: CdAg4Pd7 after structural relaxation at the PBE level of DFT.

POSCAR file:
```
CdAg4Pd7
1.0
4.9319 0.0000 0.0000
0.0201 5.7117 0.0000
2.4593 1.4985 7.0044
Cd Ag Pd
1 4 7
Cartesian
0.0000 0.0000 0.0000
1.6501 2.8887 2.3304
3.3035 5.7408 4.6517
4.1079 1.4694 2.3527
5.7613 4.3216 4.6740
0.0101 2.8559 0.0000
1.6598 5.7358 2.3176
3.2981 2.8929 4.6798
4.9221 2.9327 6.9936
2.4893 4.2776 0.0108
4.1133 4.3173 2.3246
5.7516 1.4745 4.6868
```

Results
The magnetization is 0.000 μB/atom. As for the formation energy: -2.5 kcal/mol of atoms. The value obtained for the total energy is -49.95 eV per cell.

Computed, not measured: NaSmMnCl6 after structural relaxation at the PBE level of DFT.

POSCAR file:
```
NaSmMnCl6
1.0
6.5840 0.0000 0.0000
-3.2920 5.7019 0.0000
0.0000 0.0000 12.5382
Na Sm Mn Cl
2 2 2 12
Cartesian
0.0000 0.0000 0.0000
0.0000 0.0000 6.2691
0.0000 3.8013 3.1346
3.2920 1.9006 9.4037
0.0000 3.8013 9.4037
3.2920 1.9006 3.1346
-0.9923 2.1093 7.9754
-1.9614 3.7879 10.8319
0.9923 2.1093 10.8319
-0.9691 5.5065 7.9754
2.3229 0.1953 1.7063
1.3306 1.9140 4.5628
1.9614 3.7879 7.9754
0.9691 5.5065 10.8319
4.2611 0.1953 4.5628
2.2997 3.5925 1.7063
5.2534 1.9140 1.7063
4.2843 3.5925 4.5628
```

Results
The magnetization is 0.110 μB/atom. The energy relative to the elements, uncorrected is -13.74 eV per formula unit. The value obtained for the total energy is -80.05 eV per cell.

Computed, not measured: Mg4InNi after structural relaxation at the PBE level of DFT.

POSCAR file:
```
Mg4InNi
1.0
7.2845 -3.5083 0.0000
7.2845 3.5083 0.0000
-1.8104 0.0000 4.8483
Mg In Ni
8 2 2
Cartesian
4.8068 1.7594 1.8394
7.2845 2.0668 0.0000
3.3158 0.0000 4.0398
7.9518 1.7594 3.0090
4.8068 -1.7594 1.8394
9.4428 0.0000 0.8085
7.2845 -2.0668 0.0000
7.9518 -1.7594 3.0090
2.4444 0.0000 0.9362
10.3142 0.0000 3.9121
6.7847 0.0000 1.3350
5.9738 0.0000 3.5133
```

Results
The magnetization is 0.000 μB/atom. As for the formation energy: -3.0 kcal/mol of atoms. The calculation puts the energy relative to the lowest polymorph listed for this composition at 0.000 eV/atom. The value obtained for the total energy is -31.36 eV per cell.